DFT (SCAN) results for CdIn2Hg at its PBEsol-relaxed geometry.

Output
- Energy of formation: 69.4 meV per atom
- Space-group type: No. 99
- Energy above the most stable polymorph in this dataset: 0.042 eV/atom
- Total magnetic moment: 0.00 μB per cell
- Raw total energy: -165.1 eV/cell

```
4
Lattice="3.6242 0.0000 0.0000 0.0000 3.6242 0.0000 0.0000 0.0000 7.2398" Properties=species:S:1:pos:R:3 pbc="T T T"
Cd 0.0000 0.0000 0.0000
In 0.0000 0.0000 3.4717
In 1.8121 1.8121 5.4407
Hg 1.8121 1.8121 1.6535
```